(1)
SrTlAg2Br8: relaxed, PBE-GGA.

Cell lengths 6.8734, 8.3184, 7.2524 Å; angles 90.00, 95.84, 90.00 degrees
Positions (direct):
Sr 0.0000 0.0000 0.0000
Tl 0.0000 0.5000 0.0000
Ag 0.5000 0.2520 0.5000
Ag 0.5000 0.7480 0.5000
Br 0.2240 0.2714 0.8413
Br 0.2240 0.7286 0.8413
Br 0.2816 0.0000 0.3602
Br 0.2861 0.5000 0.3436
Br 0.7139 0.5000 0.6564
Br 0.7184 0.0000 0.6398
Br 0.7760 0.2714 0.1587
Br 0.7760 0.7286 0.1587

Output
Spin magnetization = 0.000 μB/f.u.
SG = P2/m (10)
Formation energy without anion corrections = -876 kJ/mol of formula units

---

(2)
SrTl2Ag2Br7: relaxed, PBE-GGA.

Cell lengths 5.4566, 5.4566, 14.0466 Å; angles 100.97, 100.97, 88.36 degrees
Positions (direct):
Sr 0.0000 0.0000 0.0000
Tl 0.2475 0.2475 0.3621
Tl 0.7525 0.7525 0.6379
Ag 0.4071 0.4071 0.7990
Ag 0.5929 0.5929 0.2010
Br 0.0741 0.5685 0.1650
Br 0.3292 0.3292 0.5991
Br 0.4315 0.9259 0.8350
Br 0.5000 0.5000 0.0000
Br 0.5685 0.0741 0.1650
Br 0.6708 0.6708 0.4009
Br 0.9259 0.4315 0.8350

Output
Spin magnetization = 0.000 μB/f.u.
SG = C2/m (12)
Formation energy without anion corrections = -987 kJ/mol of formula units

---

(3)
SrTlAgBr4: relaxed, PBE-GGA.

Cell lengths 7.4265, 7.6158, 9.1585 Å; angles 90.00, 108.32, 90.00 degrees
Positions (direct):
Sr 0.2198 0.2500 0.0551
Sr 0.7802 0.7500 0.9449
Tl 0.2402 0.2500 0.5540
Tl 0.7598 0.7500 0.4460
Ag 0.2378 0.7500 0.8099
Ag 0.7622 0.2500 0.1901
Br 0.0205 0.5109 0.2207
Br 0.0205 0.9891 0.2207
Br 0.4600 0.7500 0.6330
Br 0.4759 0.7500 0.1046
Br 0.5241 0.2500 0.8954
Br 0.5400 0.2500 0.3670
Br 0.9795 0.0109 0.7793
Br 0.9795 0.4891 0.7793

Output
Spin magnetization = 0.000 μB/f.u.
SG = P2_1/m (11)
Formation energy without anion corrections = -827 kJ/mol of formula units

---

(4)
SrTmAgBr6: relaxed, PBE-GGA.

Cell lengths 6.9291, 6.9291, 12.9874 Å; angles 90.00, 90.00, 90.00 degrees
Positions (direct):
Sr 0.0000 0.0000 0.0000
Sr 0.5000 0.5000 0.5000
Tm 0.0000 0.0000 0.6647
Tm 0.5000 0.5000 0.1647
Ag 0.0000 0.0000 0.3277
Ag 0.5000 0.5000 0.8277
Br 0.1865 0.1865 0.5025
Br 0.1972 0.1972 0.8164
Br 0.2140 0.2140 0.1715
Br 0.2860 0.7140 0.6715
Br 0.3028 0.6972 0.3164
Br 0.3135 0.6865 0.0025
Br 0.6865 0.3135 0.0025
Br 0.6972 0.3028 0.3164
Br 0.7140 0.2860 0.6715
Br 0.7860 0.7860 0.1715
Br 0.8028 0.8028 0.8164
Br 0.8135 0.8135 0.5025

Output
Spin magnetization = 0.000 μB/f.u.
SG = P4_2nm (102)
Formation energy without anion corrections = -1369 kJ/mol of formula units